[1]
ErCdS GGA-PBE optimized geometry; DOS at the Fermi energy = 0.35 states/eV/atom
1.0
2.349 1.356 7.560
-2.349 1.356 7.560
0.000 -2.712 7.560
Er Cd S
2 2 2
Cartesian
0.000 0.000 2.087
0.000 0.000 20.592
0.000 0.000 7.685
0.000 0.000 14.995
0.000 0.000 4.840
0.000 0.000 17.840


[2]
First-principles (GGA-PBE) data for a relaxed structure of Er2CdS4, as listed in Alexandria.

Geometry as POSCAR:
```
Er2CdS4
1.0
0.000 5.611 5.611
5.611 0.000 5.611
5.611 5.611 0.000
Er Cd S
4 2 8
Cartesian
0.000 0.000 0.000
2.805 2.805 0.000
2.805 0.000 2.805
0.000 2.805 2.805
4.208 4.208 4.208
7.013 7.013 7.013
8.505 5.521 5.521
2.716 2.716 2.716
5.700 5.700 2.716
5.700 2.716 5.700
5.521 8.505 5.521
5.521 5.521 8.505
8.505 8.505 8.505
2.716 5.700 5.700
```


[3]
Er3CdS6 GGA-PBE optimized geometry; DOS at the Fermi energy = 0.64 states/eV/atom
1.0
5.320 -6.399 0.000
5.320 6.399 0.000
0.000 0.000 6.713
Er Cd S
6 2 12
Cartesian
5.320 5.143 3.356
3.390 1.267 3.956
3.390 -1.267 0.600
7.250 1.267 3.956
7.250 -1.267 0.600
5.320 -5.143 0.000
5.320 2.610 0.726
5.320 -2.610 4.082
3.414 3.511 2.187
1.738 0.437 1.966
1.738 -0.437 5.322
5.320 2.896 4.977
7.225 3.511 2.187
5.320 0.373 2.032
5.320 -0.373 5.388
3.414 -3.511 5.543
5.320 -2.896 1.620
8.901 0.437 1.966
8.901 -0.437 5.322
7.225 -3.511 5.543


[4]
Er3CdS GGA-PBE optimized geometry; DOS at the Fermi energy = 0.72 states/eV/atom; ΔE to the lowest computed polymorph = 0 meV/atom
1.0
9.028 0.000 0.000
0.000 3.829 0.000
0.000 0.000 14.668
Er Cd S
12 4 4
Cartesian
0.270 0.957 1.627
1.493 0.957 7.560
1.948 2.871 4.113
2.567 0.957 11.447
3.021 2.871 0.227
4.244 2.871 8.960
4.784 0.957 5.707
6.007 0.957 14.441
6.462 2.871 3.220
7.081 0.957 10.554
7.535 2.871 7.107
8.759 2.871 13.041
0.525 2.871 9.878
3.990 0.957 2.545
5.039 2.871 12.123
8.504 0.957 4.789
1.450 0.957 13.874
3.064 2.871 6.541
5.964 0.957 8.127
7.578 2.871 0.793


no.,formation energy without anion corrections (meV/atom),total magnetic moment (μB per formula unit)
1,-1069,0.00
2,-1678,0.00
3,-1561,0.00
4,-901,0.00